The following is a DFT calculation (SCAN) of BaNa2NbP at its PBEsol-relaxed geometry.

Calculated values
Formation enthalpy at 0 K: 39.87 kcal/mol of atoms
Total magnetization: 1.945 μB/f.u.
D(E_F): 2.52 states/eV/cell
Space-group type: No. 123

Cell lengths 5.185, 5.488, 5.488 Å; angles 90.00, 90.00, 90.00 degrees
Site moments in Bohr magnetons follow the coordinates.
Atoms (fractional coordinates):
Na 0.000 0.500 0.000  0.01
Na 0.000 0.000 0.500  0.01
P 0.500 0.500 0.500  -0.05
Nb 0.500 0.000 0.000  1.31
Ba 0.000 0.000 0.000  0.06